# 1
A plane-wave DFT calculation with PBE was carried out for AlH2N2 after structural relaxation.

Summary:
The value obtained for the energy above the most stable polymorph in this dataset is 851 meV per atom. The theoretical density comes out at 3.20 Mg/m³.

abc: 2.613 2.613 8.657
angles: 90.00 90.00 90.00
Space group I4/mmm (No. 139)
Inequivalent atoms, fractional coordinates:
1 Al 0.000 0.000 0.000 [2 per cell]
2 H 0.000 0.500 0.250 [4 per cell]
3 N 0.000 0.000 0.366 [4 per cell]

=====

# 2
A plane-wave DFT calculation with PBE was carried out for LiCdAgIr after structural relaxation.

Summary:
The value obtained for the formation energy is 34.7 meV/atom. The theoretical density comes out at 10.50 Mg/m³.

abc: 6.426 6.426 6.426
angles: 90.00 90.00 90.00
Space group F-43m (No. 216)
Inequivalent atoms, fractional coordinates:
1 Li 0.000 0.000 0.000 [4 per cell]
2 Cd 0.250 0.250 0.750 [4 per cell]
3 Ag 0.250 0.250 0.250 [4 per cell]
4 Ir 0.000 0.000 0.500 [4 per cell]

=====

# 3
A plane-wave DFT calculation with PBE was carried out for NaOs3Rh after structural relaxation.

Summary:
The value obtained for the formation energy is 2262.7 meV/atom. The value obtained for the energy above the most stable polymorph in this dataset is 0 meV per atom. The theoretical density comes out at 10.91 Mg/m³.

abc: 4.733 4.733 4.733
angles: 90.00 90.00 90.00
Space group Pm-3m (No. 221)
Inequivalent atoms, fractional coordinates:
1 Na 0.000 0.000 0.000 [1 per cell]
2 Os 0.000 0.500 0.500 [3 per cell]
3 Rh 0.500 0.500 0.500 [1 per cell]